(1)
! BeOs3 (SCAN, single point on PBEsol structure); values from VASP
! E_form: 0.17 eV/atom
! Offset from the most stable computed form: 0.000 eV per atom
! ρ: 18.3 g cm⁻³
&SYSTEM
  ibrav = 0, nat = 4, ntyp = 2
/
ATOMIC_SPECIES
Be 9.01 Be.upf
Os 190.23 Os.upf
ATOMIC_POSITIONS angstrom
Be 0.000 0.000 0.000
Os 0.168 1.424 2.294
Os -2.109 1.269 0.919
Os -1.921 -0.004 3.227
CELL_PARAMETERS angstrom
-0.137 2.689 -0.078
-4.082 -0.152 1.915
2.465 -1.117 3.684

(2)
! Be4POs (SCAN, single point on PBEsol structure); values from VASP
! E_form: -0.20 eV/atom
! ρ: 7.7 g cm⁻³
&SYSTEM
  ibrav = 0, nat = 6, ntyp = 3
/
ATOMIC_SPECIES
Os 190.23 Os.upf
Be 9.01 Be.upf
P 30.97 P.upf
ATOMIC_POSITIONS angstrom
Os -2.353 -4.423 -6.065
Be -1.179 -2.217 -3.039
Be -0.565 -3.652 -4.482
Be -2.009 -2.179 -4.996
Be -2.521 -3.747 -3.655
P 0.000 0.000 0.000
CELL_PARAMETERS angstrom
-1.672 0.076 -3.941
1.237 -2.891 -2.906
-2.703 -3.082 -1.239

(3)
! BeOs2Pb (SCAN, single point on PBEsol structure); values from VASP
! E_form: 0.61 eV/atom
! Offset from the most stable computed form: 0.000 eV per atom
! ρ: 16.5 g cm⁻³
&SYSTEM
  ibrav = 0, nat = 4, ntyp = 3
/
ATOMIC_SPECIES
Os 190.23 Os.upf
Pb 207.20 Pb.upf
Be 9.01 Be.upf
ATOMIC_POSITIONS angstrom
Os 0.000 1.626 0.929
Os 1.463 1.396 3.796
Pb 0.000 -0.659 2.369
Be 1.463 0.000 0.000
CELL_PARAMETERS angstrom
2.925 0.000 0.000
-1.463 4.341 -0.012
0.000 -1.319 4.737

(4)
! Be2OsPb (SCAN, single point on PBEsol structure); values from VASP
! E_form: 0.39 eV/atom
! ρ: 12.1 g cm⁻³
&SYSTEM
  ibrav = 0, nat = 4, ntyp = 3
/
ATOMIC_SPECIES
Os 190.23 Os.upf
Be 9.01 Be.upf
Pb 207.20 Pb.upf
ATOMIC_POSITIONS angstrom
Os -0.673 1.909 1.418
Be -0.092 0.262 0.195
Be 0.013 0.013 2.701
Pb -0.766 2.225 4.344
CELL_PARAMETERS angstrom
-1.643 -1.932 1.822
2.516 -0.447 1.795
-1.594 4.525 3.361

Number 1: E -54.8330 eV per atom, calculated volume 53 Å³ per cell. Number 2: E -16.8148 eV per atom, calculated volume 56 Å³ per cell. Number 3: E -55.3667 eV per atom, calculated volume 60 Å³ per cell. Number 4: E -38.6985 eV per atom, calculated volume 57 Å³ per cell.